VASP calculation (GGA-PBE) on Cs3Rb2SrI6 after structural relaxation.

Output
E_form (uncorrected)   -17.18 eV per formula unit
DOS(E_F)   0.274 states/eV per atom

Cell: 9.245 9.245 9.559 Å, 99.20 99.20 119.84°
Positions (direct):
Cs: 0.000 0.000 0.000
Cs: 0.328 0.672 0.000
Cs: 0.672 0.328 0.000
Rb: 0.166 0.834 0.500
Rb: 0.834 0.166 0.500
Sr: 0.500 0.500 0.500
I: 0.129 0.429 0.287
I: 0.274 0.274 0.718
I: 0.429 0.129 0.287
I: 0.571 0.871 0.713
I: 0.726 0.726 0.282
I: 0.871 0.571 0.713